# 1
Density functional theory data (GGA-PBE) for crystalline GePb2AuS4 at its relaxed geometry.

Values from the calculation:
**Uncorrected formation energy**: -0.25 eV per atom
**Total magnetization**: 0.00 μB/cell

a = 8.2862 Å, b = 8.8085 Å, c = 6.1281 Å
α = 90.00°, β = 90.00°, γ = 90.00°
Space group Pmn2_1 (No. 31)
Symmetry-distinct sites (fractional):
Ge 0.0000 0.1405 0.0000
Pb 0.2444 0.6802 0.0631
Au 0.0000 0.7006 0.5736
S 0.0000 0.1199 0.6246
S 0.0000 0.8978 0.1343
S 0.2175 0.3174 0.0950

***

# 2
Density functional theory data (GGA-PBE) for crystalline ErPuCuIr at its relaxed geometry.

Values from the calculation:
**Total magnetization**: 21.96 μB/cell
**Energy relative to the elements**: -0.394 eV/atom

a = 6.8678 Å, b = 6.8678 Å, c = 6.8678 Å
α = 90.00°, β = 90.00°, γ = 90.00°
Space group F-43m (No. 216)
Symmetry-distinct sites (fractional):
Er 0.0000 0.0000 0.0000
Pu 0.0000 0.0000 0.5000
Cu 0.2500 0.2500 0.2500
Ir 0.2500 0.2500 0.7500

***

# 3
Density functional theory data (GGA-PBE) for crystalline VZn at its relaxed geometry.

Values from the calculation:
**Total magnetization**: 0.00 μB/cell
**Energy relative to the elements**: 0.143 eV/atom

a = 8.7448 Å, b = 8.7448 Å, c = 2.6494 Å
α = 90.00°, β = 90.00°, γ = 120.00°
Space group P6_3/m (No. 176)
Symmetry-distinct sites (fractional):
V 0.1380 0.5603 0.2500
Zn 0.1315 0.8264 0.7500

***

# 4
Density functional theory data (GGA-PBE) for crystalline TiBeCd at its relaxed geometry.

Values from the calculation:
**Total magnetization**: 0.00 μB/cell
**Energy relative to the elements**: 0.063 eV/atom
**Relative energy among the computed polymorphs**: 145 meV per atom

a = 2.8728 Å, b = 2.8728 Å, c = 11.1481 Å
α = 90.00°, β = 90.00°, γ = 90.00°
Space group I4mm (No. 107)
Symmetry-distinct sites (fractional):
Ti 0.0000 0.0000 0.0000
Be 0.0000 0.0000 0.3635
Cd 0.0000 0.0000 0.7069

***

# 5
Density functional theory data (GGA-PBE) for crystalline Y3Mn at its relaxed geometry.

Values from the calculation:
**Total magnetization**: 3.10 μB/cell
**Energy relative to the elements**: 0.235 eV/atom

a = 4.7931 Å, b = 4.7931 Å, c = 4.7931 Å
α = 90.00°, β = 90.00°, γ = 90.00°
Space group Pm-3m (No. 221)
Symmetry-distinct sites (fractional):
Y 0.0000 0.0000 0.5000
Mn 0.5000 0.5000 0.5000

***

# 6
Density functional theory data (GGA-PBE) for crystalline KHg2PRu at its relaxed geometry.

Values from the calculation:
**Total magnetization**: 3.17 μB/cell
**Energy relative to the elements**: 1.071 eV/atom
**Relative energy among the computed polymorphs**: 0 meV per atom

a = 5.1201 Å, b = 5.1201 Å, c = 6.0168 Å
α = 90.00°, β = 90.00°, γ = 90.00°
Space group P4/mmm (No. 123)
Symmetry-distinct sites (fractional):
K 0.0000 0.0000 0.0000
Hg 0.0000 0.5000 0.5000
P 0.0000 0.0000 0.5000
Ru 0.5000 0.5000 0.0000

***

# 7
Density functional theory data (GGA-PBE) for crystalline Li4PrCd4 at its relaxed geometry.

Values from the calculation:
**Total magnetization**: 0.00 μB/cell
**Energy relative to the elements**: -0.132 eV/atom

a = 6.2873 Å, b = 6.2873 Å, c = 9.8733 Å
α = 90.00°, β = 90.00°, γ = 90.00°
Space group P4_2/nmc (No. 137, origin choice 2)
Symmetry-distinct sites (fractional):
Li 0.0285 0.2500 0.1692
Pr 0.2500 0.7500 0.2500
Cd 0.0222 0.2500 0.4565

***

# 8
Density functional theory data (GGA-PBE) for crystalline PrZn12Ni6 at its relaxed geometry.

Values from the calculation:
**Total magnetization**: 0.00 μB/cell
**Energy relative to the elements**: -0.117 eV/atom

a = 10.9024 Å, b = 10.9024 Å, c = 8.4144 Å
α = 90.00°, β = 90.00°, γ = 120.00°
Space group R-3m (No. 166, hexagonal axes)
Symmetry-distinct sites (fractional):
Pr 0.0000 0.0000 0.0000
Zn 0.0000 0.3847 0.5000
Zn 0.0880 0.1760 0.3182
Ni 0.0512 0.5256 0.2519

***

# 9
Density functional theory data (GGA-PBE) for crystalline La6Co2N at its relaxed geometry.

Values from the calculation:
**Uncorrected formation energy**: -0.34 eV per atom
**Total magnetization**: 0.00 μB/cell

a = 3.9790 Å, b = 7.7742 Å, c = 9.2745 Å
α = 105.67°, β = 90.03°, γ = 104.76°
Space group P-1 (No. 2)
Symmetry-distinct sites (fractional):
La 0.0251 0.0497 0.2710
La 0.2993 0.5983 0.3679
La 0.3743 0.7480 0.9666
Co 0.3400 0.6808 0.6833
N 0.0000 0.0000 0.0000

***

# 10
Density functional theory data (GGA-PBE) for crystalline Nd4InBi3 at its relaxed geometry.

Values from the calculation:
**Total magnetization**: 0.00 μB/cell
**Energy relative to the elements**: -0.735 eV/atom

a = 6.4950 Å, b = 6.4950 Å, c = 6.4950 Å
α = 90.00°, β = 90.00°, γ = 90.00°
Space group Pm-3m (No. 221)
Symmetry-distinct sites (fractional):
Nd 0.0000 0.0000 0.0000
Nd 0.0000 0.5000 0.5000
In 0.5000 0.5000 0.5000
Bi 0.0000 0.0000 0.5000

***

# 11
Density functional theory data (GGA-PBE) for crystalline SmThPd2 at its relaxed geometry.

Values from the calculation:
**Total magnetization**: 0.00 μB/cell
**Energy relative to the elements**: -0.709 eV/atom
**Relative energy among the computed polymorphs**: 96 meV per atom

a = 5.1028 Å, b = 5.1028 Å, c = 3.6123 Å
α = 90.00°, β = 90.00°, γ = 90.00°
Space group P4/mmm (No. 123)
Symmetry-distinct sites (fractional):
Sm 0.0000 0.0000 0.0000
Th 0.5000 0.5000 0.0000
Pd 0.0000 0.5000 0.5000

***

# 12
Density functional theory data (GGA-PBE) for crystalline Pm3Nd2 at its relaxed geometry.

Values from the calculation:
**Total magnetization**: 0.00 μB/cell
**Energy relative to the elements**: 0.010 eV/atom
**Relative energy among the computed polymorphs**: 0 meV per atom

a = 3.6631 Å, b = 3.6631 Å, c = 44.7964 Å
α = 90.00°, β = 90.00°, γ = 120.00°
Space group R-3m (No. 166, hexagonal axes)
Symmetry-distinct sites (fractional):
Pm 0.0000 0.0000 0.0000
Pm 0.0000 0.0000 0.3997
Nd 0.0000 0.0000 0.2003

***

For each record above, in turn, the calculated calculated total energy values are -4.23, -8.36, -5.05, -4.12, -6.91, -2.21, -1.92, -3.00, -6.13, -4.92, -6.34, -4.75 eV per atom.